Entry 1:
Here is crystalline HPd3Pb at its relaxed geometry from the Alexandria database. Energies are from PBE.

- energy relative to the lowest polymorph listed for this composition (meV/atom) = 270.4
- total magnetic moment (Bohr magnetons per cell) = 0.000
- SG = P6_3/mmc, No. 194
- volume (Å³ per atom) = 15.21
- total energy (eV per atom) = -4.483

abc: 4.659 4.659 8.092
angles: 90.00 90.00 120.00
Fractional coordinates of all 10 atoms:
Pd 0.000 0.000 0.750
Pd 0.333 0.667 0.419
Pd 0.667 0.333 0.581
Pd 0.000 0.000 0.250
Pd 0.333 0.667 0.081
Pd 0.667 0.333 0.919
H 0.000 0.000 0.000
H 0.000 0.000 0.500
Pb 0.333 0.667 0.750
Pb 0.667 0.333 0.250


Entry 2:
Here is crystalline H5Pd4Pb at its relaxed geometry from the Alexandria database. Energies are from PBE.

- total magnetic moment (Bohr magnetons per cell) = 0.000
- SG = Pmmn, No. 59
- volume (Å³ per atom) = 12.95
- total energy (eV per atom) = -4.188

abc: 4.917 5.671 9.290
angles: 90.00 90.00 90.00
Fractional coordinates of all 20 atoms:
H 0.575 0.000 0.500
H 0.787 0.752 0.308
H 0.213 0.252 0.192
H 0.787 0.248 0.308
H 0.213 0.252 0.808
H 0.425 0.500 0.000
H 0.787 0.752 0.692
H 0.787 0.248 0.692
H 0.213 0.748 0.808
H 0.213 0.748 0.192
Pd 0.992 0.500 0.245
Pd 0.992 0.500 0.755
Pd 0.008 0.000 0.745
Pd 0.784 0.247 0.500
Pd 0.008 0.000 0.255
Pd 0.216 0.747 0.000
Pd 0.216 0.253 0.000
Pd 0.784 0.753 0.500
Pb 0.302 0.500 0.500
Pb 0.698 0.000 0.000


> What is the total energy in the second record?

-4.188 eV per atom